(1)
Here is an optimized crystal structure of Rb2InGa from the Alexandria database. Energies are from PBE-GGA.

total energy: -1.6796 eV per atom
ΔH_f (0 K): 0.2455 eV/atom
energy above the lowest structure with this stoichiometry: 0.2628 eV/atom
space group: Fm-3m (225)

```
Rb2InGa
1.0
-4.239 -4.441 0.646
-5.998 1.455 0.140
-3.651 -1.497 -4.747
Ga Rb In
1 2 1
Cartesian
0.000 0.000 0.000
-3.472 -1.121 -0.990
-10.415 -3.362 -2.971
-6.943 -2.242 -1.981
```

(2)
Here is an optimized crystal structure of RbIn3Ga2 from the Alexandria database. Energies are from PBE-GGA.

total energy: -2.5803 eV per atom
ΔH_f (0 K): -0.0408 eV/atom
energy above the lowest structure with this stoichiometry: 0.0000 eV/atom
space group: Cmcm (63)

```
RbIn3Ga2
1.0
5.706 0.000 0.000
0.000 8.037 -0.129
0.000 -1.741 7.847
Rb In Ga
2 6 4
Cartesian
1.426 2.152 2.638
4.279 4.144 5.080
4.279 3.567 0.642
4.279 -0.088 3.623
1.426 2.730 7.077
4.279 0.433 0.531
1.426 5.863 7.187
1.426 6.384 4.096
2.853 5.960 1.566
0.000 5.960 1.566
0.000 0.337 6.153
2.853 0.337 6.153
```

(3)
Here is an optimized crystal structure of Rb2In3Ga5 from the Alexandria database. Energies are from PBE-GGA.

total energy: -2.6198 eV per atom
ΔH_f (0 K): -0.0913 eV/atom
space group: P-4m2 (115)

```
Rb2In3Ga5
1.0
4.753 0.000 0.000
0.000 4.753 0.000
0.000 0.000 11.987
Rb In Ga
2 3 5
Cartesian
2.377 0.000 2.806
0.000 2.377 9.181
2.377 0.000 7.775
0.000 2.377 4.212
0.000 0.000 5.994
2.377 2.377 0.000
0.000 0.000 0.000
2.377 0.000 10.614
0.000 2.377 1.373
2.377 2.377 5.994
```

(4)
Here is an optimized crystal structure of RbIn2Ga from the Alexandria database. Energies are from PBE-GGA.

total energy: -2.4002 eV per atom
ΔH_f (0 K): -0.0324 eV/atom
space group: P4/mmm (123)

```
RbIn2Ga
1.0
3.766 0.000 0.000
0.000 3.766 0.000
0.000 0.000 8.742
Ga Rb In
1 1 2
Cartesian
1.883 1.883 0.000
1.883 1.883 4.371
0.000 0.000 7.168
0.000 0.000 1.574
```

(5)
Here is an optimized crystal structure of RbInGa4 from the Alexandria database. Energies are from PBE-GGA.

total energy: -2.5647 eV per atom
ΔH_f (0 K): 0.0709 eV/atom
energy above the lowest structure with this stoichiometry: 0.1296 eV/atom
space group: F-43m (216)

```
RbInGa4
1.0
5.935 0.000 0.000
2.967 5.140 0.000
2.967 1.713 4.846
Ga Rb In
4 1 1
Cartesian
5.935 3.426 0.592
5.935 1.701 3.033
7.429 4.289 3.033
4.440 4.289 3.033
2.967 1.713 1.211
0.000 0.000 0.000
```

(6)
Here is an optimized crystal structure of RbIn5Ga2 from the Alexandria database. Energies are from PBE-GGA.

total energy: -2.6394 eV per atom
ΔH_f (0 K): -0.0502 eV/atom
space group: Immm (71)

```
RbIn5Ga2
1.0
-3.381 0.715 3.200
-0.407 -6.002 4.377
3.219 1.707 6.486
Rb In Ga
1 5 2
Cartesian
0.000 0.000 0.000
1.406 -2.147 5.431
-1.890 -2.524 5.498
1.322 -1.056 8.564
-0.064 -4.002 7.758
-0.505 0.422 6.304
-0.402 -2.705 10.577
-0.167 -0.875 3.485
```

(7)
Here is an optimized crystal structure of RbIn2Ga from the Alexandria database. Energies are from PBE-GGA.

total energy: -2.2585 eV per atom
ΔH_f (0 K): 0.1093 eV/atom
space group: R-3m (166)

```
RbIn2Ga
1.0
4.571 0.000 0.000
2.286 3.959 0.000
2.286 1.320 9.459
Ga Rb In
1 1 2
Cartesian
4.571 2.639 4.730
0.000 0.000 0.000
2.286 1.320 5.848
6.857 3.959 3.612
```

(8)
Here is an optimized crystal structure of RbIn4Ga3 from the Alexandria database. Energies are from PBE-GGA.

total energy: -2.7089 eV per atom
ΔH_f (0 K): -0.0836 eV/atom
space group: P4/mmm (123)

```
RbIn4Ga3
1.0
-1.952 0.667 -4.541
1.156 -4.704 -1.189
-7.737 -2.644 2.938
Ga Rb In
3 1 4
Cartesian
0.000 0.000 0.000
-3.110 -2.945 -1.835
-5.423 -3.735 -0.957
-3.868 -1.322 1.469
-2.378 -0.145 -1.738
-0.823 -2.831 -0.062
-7.311 -1.831 0.135
-5.757 -4.517 1.811
```

(9)
Here is an optimized crystal structure of RbIn2Ga from the Alexandria database. Energies are from PBE-GGA.

total energy: -2.4215 eV per atom
ΔH_f (0 K): -0.0537 eV/atom
space group: R3m (160)

```
RbIn2Ga
1.0
-1.432 -3.689 -2.383
-1.715 -3.666 2.228
-8.059 0.557 -0.497
Rb In Ga
1 2 1
Cartesian
-5.662 -3.373 -0.330
-7.086 0.140 -0.435
-2.090 -2.005 -0.118
-10.029 -4.401 -0.593
```

(10)
Here is an optimized crystal structure of Rb2In2Ga from the Alexandria database. Energies are from PBE-GGA.

total energy: -2.0538 eV per atom
ΔH_f (0 K): 0.0340 eV/atom
space group: P4/mbm (127)

```
Rb2In2Ga
1.0
-7.383 0.088 1.896
-1.784 -2.927 -6.809
0.537 -5.829 2.364
Ga Rb In
2 4 4
Cartesian
0.000 0.000 0.000
-4.583 -1.419 -2.457
-2.274 -4.889 -3.107
-6.215 -5.254 -3.111
-6.355 -3.778 0.559
-2.414 -3.413 0.562
-4.195 -2.486 -5.175
-7.493 -1.796 -2.725
-4.972 -0.352 0.262
-1.674 -1.042 -2.189
```

(11)
Here is an optimized crystal structure of RbIn9Ga2 from the Alexandria database. Energies are from PBE-GGA.

total energy: -2.6573 eV per atom
ΔH_f (0 K): -0.0184 eV/atom
energy above the lowest structure with this stoichiometry: 0.0000 eV/atom
space group: I4_1/amd (141)

```
RbIn9Ga2
1.0
-5.640 -5.616 -2.260
1.787 -9.239 3.355
-7.620 -1.009 6.381
Rb In Ga
2 18 4
Cartesian
-2.820 -2.808 -1.130
-4.327 -6.528 4.303
-7.146 -9.336 3.173
0.000 0.000 0.000
-3.537 -9.239 7.411
-5.733 -4.433 0.947
-7.899 -6.028 2.744
-4.191 -10.451 4.484
-7.130 -12.369 4.754
-3.725 -2.881 2.970
-1.215 -9.263 4.991
-6.820 -3.179 3.862
-9.442 -10.346 5.498
-1.413 -4.904 2.226
-6.868 -4.318 6.810
-1.168 -8.124 2.043
-5.849 -7.216 8.155
-3.421 -6.455 0.203
-4.144 -9.313 1.536
-7.946 -7.167 5.692
-10.203 -7.981 3.647
-5.499 -12.096 2.134
-6.393 -7.476 0.457
-6.490 -9.793 6.455
```

(12)
Here is an optimized crystal structure of Rb2InGa2 from the Alexandria database. Energies are from PBE-GGA.

total energy: -2.1014 eV per atom
ΔH_f (0 K): 0.0441 eV/atom
energy above the lowest structure with this stoichiometry: 0.1309 eV/atom
space group: P4/mbm (127)

```
Rb2InGa2
1.0
7.431 0.000 0.000
0.000 7.431 0.000
0.000 0.000 6.118
Ga Rb In
4 4 2
Cartesian
2.798 6.513 0.000
6.513 4.633 0.000
4.633 0.918 0.000
0.918 2.798 0.000
1.375 5.091 3.059
5.091 6.055 3.059
6.055 2.340 3.059
2.340 1.375 3.059
0.000 0.000 0.000
3.715 3.715 0.000
```